A geometry-optimized Dy3InO6 structure. Source: Alexandria, functional PBE-GGA.

Summary:
The uncorrected formation energy is -3.0309 eV/atom. The calculation puts the density of states at the Fermi level at 0.0 states/eV/cell. The magnetic moment comes out at 0.00 Bohr magnetons per cell. Its polymorph energy (0 for the lowest one) is 0.50 eV/f.u.

a = 5.5983 Å, b = 7.1833 Å, c = 7.1833 Å
α = 102.82°, β = 90.00°, γ = 90.00°
Closest atoms and distances in Å follow each position.
Element x y z (fractional)
O  0.6978  0.8987  0.4321  1 In 2.10, 1 Dy 2.26
O  0.1978  0.4321  0.8987  1 In 2.10, 1 Dy 2.26
O  0.6980  0.9750  0.0250  1 In 2.12
O  0.1975  0.3580  0.3209  4 Dy 2.25-2.33
O  0.6975  0.6420  0.6791  4 Dy 2.25-2.33
O  0.6978  0.5679  0.1013  1 In 2.10, 1 Dy 2.26
O  0.1330  0.7807  0.2193  1 In 2.04
O  0.1975  0.6791  0.6420  4 Dy 2.25-2.33
O  0.6975  0.3209  0.3580  4 Dy 2.25-2.33
O  0.6330  0.2193  0.7807  1 In 2.04
O  0.1980  0.0250  0.9750  1 In 2.12
O  0.1978  0.1013  0.5679  1 In 2.10, 1 Dy 2.26
In  0.9908  0.1830  0.8170  4 O 2.04-2.12
In  0.4908  0.8170  0.1830  4 O 2.04-2.12
Dy  0.9755  0.6977  0.9101  5 O 2.25-2.40
Dy  0.9218  0.6003  0.3997  7 O 2.30-2.45
Dy  0.4755  0.3023  0.0899  5 O 2.25-2.40
Dy  0.4218  0.3997  0.6003  7 O 2.30-2.45
Dy  0.4755  0.9101  0.6977  5 O 2.25-2.40
Dy  0.9755  0.0899  0.3023  5 O 2.25-2.40